(1)
Density functional theory data (PBEsol) for a relaxed structure of LiMnPH2O5.

Summary:
- DOS(E_F) (states/eV/atom) = 0.0000
- final energy (eV/atom) = -6.737

a b c (Å): 5.5679 8.2102 4.7291
angles (deg): 90.00 90.00 90.00
Space group Pmn2_1 (No. 31)
Inequivalent atoms, fractional coordinates:
Li: 0.0000 0.0731 0.0000 [2 per cell]
Mn: 0.0000 0.4773 0.1378 [2 per cell]
P: 0.0000 0.7260 0.7051 [2 per cell]
H: 0.1414 0.2923 0.6709 [4 per cell]
O: 0.0000 0.2795 0.8016 [2 per cell]
O: 0.0000 0.6816 0.3911 [2 per cell]
O: 0.0000 0.9096 0.7471 [2 per cell]
O: 0.2228 0.6435 0.8542 [4 per cell]


(2)
Density functional theory data (PBEsol) for a relaxed structure of LiMn2P2H4O10.

Summary:
- DOS(E_F) (states/eV/atom) = 0.1918
- final energy (eV/atom) = -6.929

a b c (Å): 5.0745 5.3072 7.4983
angles (deg): 104.36 103.73 99.88
Space group P1 (No. 1)
Inequivalent atoms, fractional coordinates:
Li: 0.0000 0.0000 0.0000 [1 per cell]
Mn: 0.4228 0.6210 0.0850 [1 per cell]
Mn: 0.9018 0.1050 0.5772 [1 per cell]
P: 0.3391 0.1950 0.3370 [1 per cell]
P: 0.4807 0.0445 0.8305 [1 per cell]
H: 0.0372 0.6414 0.7703 [1 per cell]
H: 0.7876 0.5497 0.3766 [1 per cell]
H: 0.8368 0.4638 0.8674 [1 per cell]
H: 0.9830 0.7479 0.2913 [1 per cell]
O: 0.0195 0.4907 0.8288 [1 per cell]
O: 0.1534 0.9592 0.7686 [1 per cell]
O: 0.2090 0.2590 0.5025 [1 per cell]
O: 0.2273 0.8896 0.2191 [1 per cell]
O: 0.2427 0.3421 0.1882 [1 per cell]
O: 0.5831 0.3524 0.9245 [1 per cell]
O: 0.5942 0.9585 0.6577 [1 per cell]
O: 0.5985 0.9025 0.9781 [1 per cell]
O: 0.6624 0.2752 0.4161 [1 per cell]
O: 0.8108 0.7213 0.3380 [1 per cell]


(3)
Density functional theory data (PBEsol) for a relaxed structure of LiMnP3HO10.

Summary:
- DOS(E_F) (states/eV/atom) = 0.1622
- final energy (eV/atom) = -7.307

a b c (Å): 6.1973 6.3281 6.3333
angles (deg): 72.12 76.34 84.08
Space group P1 (No. 1)
Inequivalent atoms, fractional coordinates:
Li: 0.0000 0.0000 0.0000 [1 per cell]
Mn: 0.6568 0.3527 0.9086 [1 per cell]
P: 0.1938 0.4432 0.7850 [1 per cell]
P: 0.5400 0.8231 0.0006 [1 per cell]
P: 0.5504 0.4398 0.4059 [1 per cell]
H: 0.2404 0.7700 0.8212 [1 per cell]
O: 0.1639 0.6982 0.7272 [1 per cell]
O: 0.2986 0.3882 0.5493 [1 per cell]
O: 0.3029 0.8795 0.9660 [1 per cell]
O: 0.3441 0.3501 0.9526 [1 per cell]
O: 0.5263 0.6960 0.2688 [1 per cell]
O: 0.6136 0.2971 0.2497 [1 per cell]
O: 0.6648 0.6675 0.8678 [1 per cell]
O: 0.6846 0.0210 0.9574 [1 per cell]
O: 0.6968 0.4183 0.5698 [1 per cell]
O: 0.9794 0.3177 0.8778 [1 per cell]


(4)
Density functional theory data (PBEsol) for a relaxed structure of LiMnP2H2O8.

Summary:
- E above lowest polymorph (meV/atom) = 17
- DOS(E_F) (states/eV/atom) = 0.0429
- final energy (eV/atom) = -7.033

a b c (Å): 10.0764 15.7712 8.5398
angles (deg): 90.00 122.38 90.00
Space group Cc (No. 9)
Inequivalent atoms, fractional coordinates:
Li: 0.0000 0.1824 0.0000 [4 per cell]
Li: 0.0083 0.3045 0.5170 [4 per cell]
Mn: 0.4071 0.1075 0.2990 [4 per cell]
Mn: 0.4215 0.3554 0.8084 [4 per cell]
P: 0.0743 0.0044 0.6532 [4 per cell]
P: 0.1019 0.4662 0.6240 [4 per cell]
P: 0.2503 0.2748 0.0543 [4 per cell]
P: 0.2986 0.1840 0.5742 [4 per cell]
H: 0.1697 0.0368 0.9482 [4 per cell]
H: 0.2570 0.3837 0.2306 [4 per cell]
H: 0.3076 0.4999 0.3849 [4 per cell]
H: 0.3260 0.0768 0.7433 [4 per cell]
O: 0.0038 0.0809 0.1521 [4 per cell]
O: 0.0398 0.4820 0.9486 [4 per cell]
O: 0.0757 0.2953 0.9246 [4 per cell]
O: 0.1068 0.0623 0.8176 [4 per cell]
O: 0.1197 0.1992 0.4814 [4 per cell]
O: 0.2023 0.4699 0.2882 [4 per cell]
O: 0.2104 0.3928 0.6380 [4 per cell]
O: 0.2262 0.0047 0.1507 [4 per cell]
O: 0.2522 0.1838 0.1265 [4 per cell]
O: 0.3231 0.3351 0.2324 [4 per cell]
O: 0.3335 0.1265 0.4583 [4 per cell]
O: 0.3501 0.2795 0.9704 [4 per cell]
O: 0.3665 0.1383 0.7669 [4 per cell]
O: 0.3856 0.2694 0.6232 [4 per cell]
O: 0.4496 0.4479 0.9722 [4 per cell]
O: 0.4674 0.0786 0.1264 [4 per cell]


(5)
Density functional theory data (PBEsol) for a relaxed structure of Li2Mn2P2H12O15.

Summary:
- final energy (eV/atom) = -6.139

a b c (Å): 4.7783 11.5718 11.5730
angles (deg): 88.49 89.98 78.10
Space group P-1 (No. 2)
Inequivalent atoms, fractional coordinates:
Li: 0.0233 0.3065 0.4125 [2 per cell]
Li: 0.1711 0.3068 0.9123 [2 per cell]
Mn: 0.0803 0.0165 0.3772 [2 per cell]
Mn: 0.4031 0.0169 0.8772 [2 per cell]
P: 0.2129 0.8267 0.2270 [2 per cell]
P: 0.4599 0.8272 0.7271 [2 per cell]
H: 0.0881 0.2935 0.6350 [2 per cell]
H: 0.1015 0.0161 0.0846 [2 per cell]
H: 0.1195 0.2930 0.1347 [2 per cell]
H: 0.1397 0.7525 0.9160 [2 per cell]
H: 0.1496 0.5376 0.9338 [2 per cell]
H: 0.1876 0.4629 0.5661 [2 per cell]
H: 0.2452 0.5730 0.2430 [2 per cell]
H: 0.3185 0.4265 0.2569 [2 per cell]
H: 0.3689 0.5227 0.6483 [2 per cell]
H: 0.3820 0.0166 0.5845 [2 per cell]
H: 0.3911 0.4779 0.8515 [2 per cell]
H: 0.3931 0.2480 0.5842 [2 per cell]
O: 0.0079 0.6984 0.9338 [2 per cell]
O: 0.0313 0.0618 0.8055 [2 per cell]
O: 0.0993 0.7148 0.2153 [2 per cell]
O: 0.1910 0.8324 0.6488 [2 per cell]
O: 0.1971 0.0447 0.5431 [2 per cell]
O: 0.2041 0.5419 0.5921 [2 per cell]
O: 0.2071 0.3020 0.5664 [2 per cell]
O: 0.2454 0.4587 0.9077 [2 per cell]
O: 0.2583 0.0444 0.0433 [2 per cell]
O: 0.2887 0.8515 0.3536 [2 per cell]
O: 0.3146 0.2847 0.2847 [2 per cell]
O: 0.3591 0.8519 0.8537 [2 per cell]
O: 0.3964 0.4998 0.2500 [2 per cell]
O: 0.4075 0.0612 0.3053 [2 per cell]
O: 0.4767 0.8319 0.1487 [2 per cell]


(6)
Density functional theory data (PBEsol) for a relaxed structure of LiMnVP2H2O10.

Summary:
- DOS(E_F) (states/eV/atom) = 0.2646
- final energy (eV/atom) = -7.405

a b c (Å): 5.1069 5.2173 7.2078
angles (deg): 109.55 107.74 95.40
Space group P-1 (No. 2)
Inequivalent atoms, fractional coordinates:
Li: 0.0000 0.0000 0.0000 [1 per cell]
Mn: 0.0000 0.5000 0.0000 [1 per cell]
V: 0.5000 0.0000 0.5000 [1 per cell]
P: 0.3920 0.5914 0.7539 [2 per cell]
H: 0.0131 0.1545 0.6883 [2 per cell]
O: 0.1451 0.8491 0.2550 [2 per cell]
O: 0.1886 0.6846 0.8710 [2 per cell]
O: 0.3032 0.3218 0.0870 [2 per cell]
O: 0.3046 0.2705 0.6378 [2 per cell]
O: 0.3701 0.7429 0.6021 [2 per cell]